No. 1
The following is a DFT calculation (GGA-PBEsol) of an optimized crystal structure of KSiW.

Calculated values
Total energy = -0.456 Ry per atom
Volume = 58 Å³ per cell
Crystal system = tetragonal
Uncorrected formation energy = 2.09 eV/f.u.

Structure (POSCAR):
```
KSiW
1.0
2.7647 0.0000 0.0000
0.0000 2.7647 0.0000
-1.3824 -1.3824 7.5372
K Si W
1 1 1
Cartesian
0.0000 0.0000 0.1272
1.3824 1.3824 2.7962
0.0000 0.0000 4.6138
```

=====

No. 2
The following is a DFT calculation (GGA-PBEsol) of an optimized crystal structure of KSiW.

Calculated values
Total energy = -0.382 Ry per atom
Volume = 68 Å³ per cell
Crystal system = cubic
Uncorrected formation energy = 5.08 eV/f.u.

Structure (POSCAR):
```
KSiW
1.0
4.5843 0.0000 0.0000
2.2922 3.9701 0.0000
2.2922 1.3234 3.7431
K Si W
1 1 1
Cartesian
4.5843 2.6467 1.8715
6.8765 3.9701 2.8073
0.0000 0.0000 0.0000
```

=====

No. 3
The following is a DFT calculation (GGA-PBEsol) of an optimized crystal structure of KSiW2.

Calculated values
Total energy = -0.589 Ry per atom
Volume = 83 Å³ per cell
Crystal system = tetragonal
Uncorrected formation energy = 2.46 eV/f.u.

Structure (POSCAR):
```
KSiW2
1.0
-0.5079 -0.3547 -3.1387
-2.3396 -2.0936 0.6151
-5.4015 6.0908 0.1858
K Si W
1 1 2
Cartesian
-2.8195 3.1793 0.0970
-5.9018 3.8254 -1.1078
-5.3590 6.0429 0.1843
-2.2709 -0.2689 -1.2327
```

=====

No. 4
The following is a DFT calculation (GGA-PBEsol) of an optimized crystal structure of KSiW2.

Calculated values
Total energy = -0.592 Ry per atom
Volume = 73 Å³ per cell
Crystal system = orthorhombic
Uncorrected formation energy = 2.27 eV/f.u.

Structure (POSCAR):
```
KSiW2
1.0
-0.9261 0.1252 2.6106
-1.9622 -1.1723 -1.5696
3.9047 -8.9663 1.8152
K Si W
1 1 2
Cartesian
1.8955 -4.3526 0.8812
-0.6259 -2.4025 0.9008
0.0402 -0.0923 0.0187
1.6589 -7.6492 1.9630
```

=====

No. 5
The following is a DFT calculation (GGA-PBEsol) of an optimized crystal structure of KSi2W.

Calculated values
Total energy = -0.413 Ry per atom
Volume = 69 Å³ per cell
Crystal system = cubic
Uncorrected formation energy = 3.98 eV/f.u.

Structure (POSCAR):
```
KSi2W
1.0
-0.2324 -4.5828 0.3455
3.5408 -2.5941 -1.3817
2.5838 -2.2074 3.1027
K Si W
1 2 1
Cartesian
0.0000 0.0000 0.0000
1.4730 -2.3461 0.5166
4.4191 -7.0382 1.5499
2.9460 -4.6921 1.0333
```

=====

No. 6
The following is a DFT calculation (GGA-PBEsol) of an optimized crystal structure of KSi2W.

Calculated values
Total energy = -0.467 Ry per atom
Volume = 89 Å³ per cell
Crystal system = monoclinic
Uncorrected formation energy = 1.01 eV/f.u.

Structure (POSCAR):
```
KSi2W
1.0
3.1222 0.0000 0.0000
1.5611 4.1676 -0.0141
1.5611 0.7428 6.8169
K Si W
1 2 1
Cartesian
4.6833 3.3400 5.0353
3.1222 0.3183 0.8408
1.5611 0.9777 2.6007
3.1222 2.7297 1.7274
```

=====

No. 7
The following is a DFT calculation (GGA-PBEsol) of an optimized crystal structure of KSi2W.

Calculated values
Total energy = -0.395 Ry per atom
Volume = 70 Å³ per cell
Crystal system = tetragonal
Uncorrected formation energy = 4.95 eV/f.u.

Structure (POSCAR):
```
KSi2W
1.0
3.9365 0.0000 0.0000
0.0000 3.9365 0.0000
-1.9682 -1.9682 4.5353
K Si W
1 2 1
Cartesian
0.0000 1.9682 2.2677
0.0000 0.0000 0.0000
1.9682 0.0000 2.2677
1.9682 1.9682 0.0000
```

=====

No. 8
The following is a DFT calculation (GGA-PBEsol) of an optimized crystal structure of KYSi.

Calculated values
Total energy = -0.324 Ry per atom
Volume = 109 Å³ per cell
Crystal system = trigonal
Uncorrected formation energy = 0.46 eV/f.u.

Structure (POSCAR):
```
KYSi
1.0
-3.0688 -0.7215 3.4407
4.0394 -2.3360 -0.0515
2.4654 4.1953 3.0786
Y K Si
1 1 1
Cartesian
0.6242 0.9927 3.9294
0.1197 0.2037 0.1495
2.6921 -0.0586 2.3888
```

=====

No. 9
The following is a DFT calculation (GGA-PBEsol) of an optimized crystal structure of KYSi.

Calculated values
Total energy = -0.325 Ry per atom
Volume = 93 Å³ per cell
Crystal system = cubic
Uncorrected formation energy = 0.42 eV/f.u.

Structure (POSCAR):
```
KYSi
1.0
-0.6795 -4.8343 -1.4319
3.2825 -3.5840 1.5045
-1.4312 -3.4877 3.4162
Y K Si
1 1 1
Cartesian
0.0000 0.0000 0.0000
0.5859 -5.9530 1.7444
0.2929 -2.9765 0.8722
```

=====

No. 10
The following is a DFT calculation (GGA-PBEsol) of an optimized crystal structure of KZnSi2.

Calculated values
Total energy = -0.223 Ry per atom
Volume = 75 Å³ per cell
Crystal system = orthorhombic
Uncorrected formation energy = 2.05 eV/f.u.

Structure (POSCAR):
```
KZnSi2
1.0
-0.3703 -0.4987 -2.5329
3.3302 -4.6870 0.4360
-5.6763 -0.4357 0.9157
K Si Zn
1 2 1
Cartesian
-1.3582 -2.8107 -0.5906
1.6651 -2.3435 0.2180
-2.8381 -0.2178 0.4579
-0.1852 -0.2494 -1.2665
```

=====

No. 11
The following is a DFT calculation (GGA-PBEsol) of an optimized crystal structure of KZnSi2.

Calculated values
Total energy = -0.232 Ry per atom
Volume = 99 Å³ per cell
Crystal system = orthorhombic
Uncorrected formation energy = 1.58 eV/f.u.

Structure (POSCAR):
```
KZnSi2
1.0
-0.9787 1.9734 -3.0116
1.1194 -2.9716 -4.6224
-4.5497 -2.2979 -2.3386
K Si Zn
1 2 1
Cartesian
-3.3189 -2.5080 -7.4990
-1.1649 1.4233 -3.3115
-1.0724 -0.7358 -2.4450
-2.0360 -1.1502 -4.7148
```

=====

No. 12
The following is a DFT calculation (GGA-PBEsol) of an optimized crystal structure of KZnSi3.

Calculated values
Total energy = -0.240 Ry per atom
Volume = 112 Å³ per cell
Crystal system = cubic
Uncorrected formation energy = 3.65 eV/f.u.

Structure (POSCAR):
```
KZnSi3
1.0
-3.6900 -1.1722 -2.8640
2.8323 -3.0749 -2.3907
-1.2467 -3.5162 3.0454
Zn Si K
1 3 1
Cartesian
0.0000 0.0000 0.0000
1.4161 -1.5375 -1.1954
-0.6234 -1.7581 1.5227
-1.8450 -0.5861 -1.4320
-1.0522 -3.8816 -1.1046
```

=====

No. 13
The following is a DFT calculation (GGA-PBEsol) of an optimized crystal structure of K4ZnSi.

Calculated values
Total energy = -0.098 Ry per atom
Volume = 218 Å³ per cell
Crystal system = cubic
Uncorrected formation energy = 3.90 eV/f.u.

Structure (POSCAR):
```
K4ZnSi
1.0
-4.7572 1.4943 4.5542
-3.0946 -4.9480 3.3979
1.2376 -0.8620 6.5826
K Si Zn
4 1 1
Cartesian
-2.4855 -1.6217 5.4617
-1.8705 -2.0501 8.7327
-4.8494 -0.8791 7.7247
-4.0232 -4.0804 7.1502
-4.9607 -3.2368 10.9010
0.0000 0.0000 0.0000
```

=====

No. 14
The following is a DFT calculation (GGA-PBEsol) of an optimized crystal structure of KZn2Si2.

Calculated values
Total energy = -0.233 Ry per atom
Volume = 94 Å³ per cell
Crystal system = tetragonal
Uncorrected formation energy = -0.08 eV/f.u.

Structure (POSCAR):
```
KZn2Si2
1.0
4.2638 0.0000 0.0000
0.0000 4.2638 0.0000
-2.1319 -2.1319 5.1612
Zn Si K
2 2 1
Cartesian
0.0000 2.1319 2.5806
2.1319 0.0000 2.5806
0.0000 0.0000 3.9611
2.1319 2.1319 1.2001
0.0000 0.0000 0.0000
```

=====

No. 15
The following is a DFT calculation (GGA-PBEsol) of an optimized crystal structure of KZr2Si.

Calculated values
Total energy = -0.457 Ry per atom
Volume = 106 Å³ per cell
Crystal system = tetragonal
Uncorrected formation energy = 0.21 eV/f.u.

Structure (POSCAR):
```
KZr2Si
1.0
3.5531 0.0000 0.0000
0.0000 3.5531 0.0000
0.0000 0.0000 8.4152
K Si Zr
1 1 2
Cartesian
0.0000 0.0000 4.6255
1.7765 1.7765 7.0408
0.0000 0.0000 8.0375
1.7765 1.7765 1.3342
```

=====

No. 16
The following is a DFT calculation (GGA-PBEsol) of an optimized crystal structure of KZr2Si.

Calculated values
Total energy = -0.419 Ry per atom
Volume = 84 Å³ per cell
Crystal system = tetragonal
Uncorrected formation energy = 2.23 eV/f.u.

Structure (POSCAR):
```
KZr2Si
1.0
-1.2316 3.9321 1.1006
-4.0636 -1.0677 -0.7327
2.2121 -2.8043 4.2305
K Si Zr
1 1 2
Cartesian
-2.6476 1.4322 0.1840
-2.2495 -1.2199 1.8409
0.0000 0.0000 0.0000
-0.8335 1.2800 2.7576
```

=====

No. 17
The following is a DFT calculation (GGA-PBEsol) of an optimized crystal structure of KZrSi2.

Calculated values
Total energy = -0.408 Ry per atom
Volume = 80 Å³ per cell
Crystal system = tetragonal
Uncorrected formation energy = -0.51 eV/f.u.

Structure (POSCAR):
```
KZrSi2
1.0
2.9249 0.0000 0.0000
0.0000 2.9249 0.0000
0.0000 0.0000 9.3535
K Si Zr
1 2 1
Cartesian
1.4624 1.4624 4.6767
0.0000 0.0000 7.3206
0.0000 0.0000 2.0328
1.4624 1.4624 0.0000
```

=====

No. 18
The following is a DFT calculation (GGA-PBEsol) of an optimized crystal structure of KZr2Si.

Calculated values
Total energy = -0.420 Ry per atom
Volume = 87 Å³ per cell
Crystal system = monoclinic
Uncorrected formation energy = 2.21 eV/f.u.

Structure (POSCAR):
```
KZr2Si
1.0
3.0213 -0.0079 0.0000
-0.1735 5.6819 0.0000
-1.4239 -2.8370 5.0466
K Si Zr
1 1 2
Cartesian
1.5106 -0.0040 0.0000
-0.0868 2.8409 0.0000
-0.7119 -1.4185 2.5233
0.7119 1.4185 2.5233
```

=====

No. 19
The following is a DFT calculation (GGA-PBEsol) of an optimized crystal structure of KSrSnTe2.

Calculated values
Total energy = -0.188 Ry per atom
Volume = 191 Å³ per cell
Crystal system = tetragonal
Uncorrected formation energy = 1.51 eV/f.u.

Structure (POSCAR):
```
KSrSnTe2
1.0
-2.9032 4.4683 1.2444
0.3263 -1.3844 5.7322
4.9955 3.1155 0.4681
Sr K Te Sn
1 1 2 1
Cartesian
-1.4516 2.2341 0.6222
0.0000 0.0000 0.0000
2.4978 1.5577 0.2341
0.1631 -0.6922 2.8661
1.2093 3.0997 3.7223
```

=====

No. 20
The following is a DFT calculation (GGA-PBEsol) of an optimized crystal structure of K3SnTe3.

Calculated values
Total energy = -0.250 Ry per atom
Volume = 1094 Å³ per cell
Crystal system = monoclinic
Uncorrected formation energy = -5.56 eV/f.u.

Structure (POSCAR):
```
K3SnTe3
1.0
-6.9081 -2.8251 5.8322
5.7506 -6.8214 -3.3779
8.2376 1.7040 10.5828
K Sn Te
12 4 12
Cartesian
0.2773 -7.5785 5.8035
10.1377 -3.6797 6.1351
6.8028 -0.3640 7.2335
-3.0576 -4.2628 6.9020
3.8888 -1.7910 13.4494
3.4033 -2.1022 5.2428
3.1913 -6.1515 -0.4124
3.6768 -5.8404 7.7942
-0.5617 -0.8859 6.5453
6.3389 -3.3206 10.2006
7.6418 -7.0566 6.4917
0.7412 -4.6219 2.8364
-0.2591 -1.2773 0.5651
0.4956 -4.0754 9.0629
7.3392 -6.6652 12.4720
6.5845 -3.8671 3.9742
9.4255 -1.4639 9.7752
-1.4768 -2.2935 9.7605
-2.3454 -6.4787 3.2619
8.5569 -5.6490 3.2766
0.5071 -1.2253 3.2009
2.8210 -3.4878 10.3988
6.5730 -6.7172 9.8362
4.2591 -4.4547 2.6383
5.2865 -0.0270 10.7948
0.7820 -4.1193 6.3254
1.7936 -7.9155 2.2423
6.2981 -3.8232 6.7116
```

=====

No. 21
The following is a DFT calculation (GGA-PBEsol) of an optimized crystal structure of K2SnTe3.

Calculated values
Total energy = -0.258 Ry per atom
Volume = 838 Å³ per cell
Crystal system = orthorhombic
Uncorrected formation energy = -3.97 eV/f.u.

Structure (POSCAR):
```
K2SnTe3
1.0
-0.3180 -0.8327 -8.4844
7.2917 -4.4948 0.1678
-5.8439 -9.2780 5.4187
K Sn Te
8 4 12
Cartesian
-0.9307 -1.5029 0.1824
-1.4265 -10.4388 1.0780
-5.2313 -8.6078 -3.2481
2.5562 -4.1667 -3.9759
-2.8249 -4.5619 0.5536
0.6620 -7.2257 -3.6046
0.4677 -7.3798 0.7068
-3.3371 -5.5488 -3.6193
-4.9875 -8.0544 0.9775
2.6304 -3.8874 0.2829
-1.1745 -2.0563 -4.0432
-1.5006 -10.7182 -3.1808
3.1801 -6.1717 -1.1518
1.6330 -10.5830 -0.6609
-2.7486 -7.4890 2.4764
0.1950 -4.9674 -6.4595
-2.0504 -8.4338 -1.7461
-0.5033 -4.0225 -2.2370
3.8783 -7.1165 -5.3743
0.9347 -9.6381 3.5616
4.6362 -3.7100 -6.9146
5.9335 -3.9953 -2.6462
1.0402 -1.3322 -5.6704
2.3374 -1.6175 -1.4020
```

=====

No. 22
The following is a DFT calculation (GGA-PBEsol) of an optimized crystal structure of K3TlSn.

Calculated values
Total energy = -0.130 Ry per atom
Volume = 290 Å³ per cell
Calculated formation energy = 0.283 eV/atom
Crystal system = cubic

Structure (POSCAR):
```
K3TlSn
1.0
-1.8471 5.4689 3.2387
-6.0431 -0.4660 -2.6596
-1.9695 -3.6992 5.1232
K Tl Sn
3 1 1
Cartesian
-3.0216 -0.2330 -1.3298
-0.9848 -1.8496 2.5616
-0.9235 2.7345 1.6194
-4.9299 0.6519 2.8511
0.0000 0.0000 0.0000
```

=====

No. 23
The following is a DFT calculation (GGA-PBEsol) of an optimized crystal structure of KTl2Sn.

Calculated values
Total energy = -0.203 Ry per atom
Volume = 116 Å³ per cell
Calculated formation energy = -0.100 eV/atom
Crystal system = cubic

Structure (POSCAR):
```
KTl2Sn
1.0
-1.0851 -1.5612 5.1288
4.0507 -0.3906 3.6550
0.3502 3.6139 4.0910
K Tl Sn
1 2 1
Cartesian
0.0000 0.0000 0.0000
0.8289 0.4155 3.2187
2.4868 1.2466 9.6561
1.6579 0.8311 6.4374
```

=====

No. 24
The following is a DFT calculation (GGA-PBEsol) of an optimized crystal structure of KTlSn2.

Calculated values
Total energy = -0.221 Ry per atom
Volume = 116 Å³ per cell
Calculated formation energy = 0.059 eV/atom
Crystal system = cubic

Structure (POSCAR):
```
KTlSn2
1.0
5.4720 0.0000 0.0000
2.7360 4.7389 0.0000
2.7360 1.5796 4.4678
K Tl Sn
1 1 2
Cartesian
0.0000 0.0000 0.0000
5.4720 3.1592 2.2339
2.7360 1.5796 1.1170
8.2080 4.7389 3.3509
```

=====

No. 25
The following is a DFT calculation (GGA-PBEsol) of an optimized crystal structure of KTl2SnW.

Calculated values
Total energy = -0.336 Ry per atom
Volume = 151 Å³ per cell
Calculated formation energy = 0.318 eV/atom
Crystal system = tetragonal

Structure (POSCAR):
```
KTl2SnW
1.0
5.2252 0.0000 0.0000
0.0000 5.3833 0.0000
0.0000 0.0000 5.3833
K Tl Sn W
1 2 1 1
Cartesian
2.6126 2.6917 2.6917
0.0000 0.0000 2.6917
0.0000 2.6917 0.0000
2.6126 0.0000 0.0000
0.0000 0.0000 0.0000
```

=====

No. 26
The following is a DFT calculation (GGA-PBEsol) of an optimized crystal structure of KZn2Sn2.

Calculated values
Total energy = -0.197 Ry per atom
Volume = 123 Å³ per cell
Calculated formation energy = -0.111 eV/atom
Crystal system = tetragonal

Structure (POSCAR):
```
KZn2Sn2
1.0
4.5785 0.0000 0.0000
0.0000 4.5785 0.0000
-2.2893 -2.2893 5.8440
K Zn Sn
1 2 2
Cartesian
0.0000 0.0000 0.0000
0.0000 2.2893 2.9220
2.2893 0.0000 2.9220
0.0000 0.0000 4.4058
2.2893 2.2893 1.4382
```

=====

No. 27
The following is a DFT calculation (GGA-PBEsol) of an optimized crystal structure of KZr3Sn.

Calculated values
Total energy = -0.363 Ry per atom
Volume = 110 Å³ per cell
Calculated formation energy = 1.595 eV/atom
Crystal system = cubic

Structure (POSCAR):
```
KZr3Sn
1.0
-3.6941 0.3375 3.0259
-1.9425 -3.9247 -1.9337
2.3444 -2.7200 3.1656
K Sn Zr
1 1 3
Cartesian
0.0000 0.0000 0.0000
-1.6461 -3.1536 2.1289
-0.9713 -1.9624 -0.9668
1.1722 -1.3600 1.5828
-1.8470 0.1688 1.5129
```

=====

No. 28
The following is a DFT calculation (GGA-PBEsol) of an optimized crystal structure of KZr3Sn.

Calculated values
Total energy = -0.405 Ry per atom
Volume = 160 Å³ per cell
Calculated formation energy = 1.025 eV/atom
Crystal system = cubic

Structure (POSCAR):
```
KZr3Sn
1.0
-1.7534 4.7398 -1.9876
-3.3984 -2.6446 -3.3087
-3.8558 0.1756 3.8200
K Sn Zr
1 1 3
Cartesian
-4.5038 1.1353 -0.7381
0.0000 0.0000 0.0000
-1.6992 -1.3223 -1.6543
-1.9279 0.0878 1.9100
-0.8767 2.3699 -0.9938
```